The following is a DFT calculation (PBE) of a relaxed structure of AcCo2P2.

a b c (Å): 7.3240 6.1363 6.0118
angles (deg): 74.15 53.70 52.15
Element x y z (fractional)
Ac (0.1250, 0.1250, 0.1250)
Ac (0.8750, 0.8750, 0.8750)
Co (0.2495, 0.2495, 0.5005)
Co (0.5005, 0.5005, 0.2495)
Co (0.4995, 0.4995, 0.7505)
Co (0.7505, 0.7505, 0.4995)
P (0.1986, 0.5514, 0.1986)
P (0.4486, 0.8014, 0.4486)
P (0.5514, 0.1986, 0.5514)
P (0.8014, 0.4486, 0.8014)

Calculated values
The value obtained for the formation energy is -918 meV/atom. As for the total magnetic moment: 0.00 μB per formula unit. The space group is Fddd (70). As for the excess energy over the best structure of this formula in the dataset: 18 meV per atom.